DFT (PBE+U) results for crystalline PuNiAgO6 at its relaxed geometry.

Cell and atoms, written as POSCAR:
```
PuNiAgO6
1.0
5.283 0.000 0.000
-2.641 4.575 0.000
0.000 0.000 9.386
O Ni Ag Pu
12 2 2 2
direct
0.651 0.008 0.365
0.644 0.992 0.865
0.356 0.349 0.365
0.992 0.644 0.365
0.008 0.651 0.865
0.349 0.356 0.865
0.356 0.008 0.135
0.349 0.992 0.635
0.992 0.349 0.135
0.644 0.651 0.635
0.651 0.644 0.135
0.008 0.356 0.635
0.333 0.667 0.250
0.667 0.333 0.750
0.000 0.000 0.500
0.000 0.000 0.000
0.333 0.667 0.750
0.667 0.333 0.250
```

Mass density in g/cm³: 7.42
Total magnetic moment in μB per formula unit: 0.532
Density of states at the Fermi level in states/eV/f.u.: 8.21
VASP energy in eV per atom: -6.764